Material: TlV2BiO8
Method: DFT, PBE+U
State: relaxed

Cell: 5.823 5.823 6.719 Å, 90.00 90.00 120.00°
Fractional coordinates of all 12 atoms:
Tl 0.000 0.000 0.000
V 0.333 0.667 0.306
V 0.667 0.333 0.694
Bi 0.000 0.000 0.500
O 0.162 0.324 0.236
O 0.162 0.838 0.236
O 0.324 0.162 0.764
O 0.333 0.667 0.550
O 0.667 0.333 0.450
O 0.676 0.838 0.236
O 0.838 0.162 0.764
O 0.838 0.676 0.764

final energy: -6.507 eV per atom
calculated density: 5413 kg/m3
V: 16.4 A^3/atom
density of states at the Fermi level: 0.0 states/eV/cell